This record from OQMD via LeMat-Bulk describes ZrRe2Bi after structural relaxation. The functional is PBE.

Crystal system: cubic
Total DFT energy (no corrections) (eV per atom): -8.68

Cell: 6.703 6.703 6.703 Å, 90.00 90.00 90.00°
Space group F-43m (No. 216)
Symmetry-distinct sites (fractional):
1 Zr 0.000 0.000 0.000 [4 per cell]
2 Re 0.000 0.000 0.500 [4 per cell]
3 Re 0.250 0.250 0.250 [4 per cell]
4 Bi 0.250 0.250 0.750 [4 per cell]

This record from OQMD via LeMat-Bulk describes ZrReBi after structural relaxation. The functional is PBE.

Crystal system: cubic
Total DFT energy (no corrections) (eV per atom): -7.96

Cell: 6.552 6.552 6.552 Å, 90.00 90.00 90.00°
Space group F-43m (No. 216)
Symmetry-distinct sites (fractional):
1 Zr 0.000 0.000 0.000 [4 per cell]
2 Re 0.250 0.250 0.750 [4 per cell]
3 Bi 0.000 0.000 0.500 [4 per cell]

This record from OQMD via LeMat-Bulk describes Zr2ReBi after structural relaxation. The functional is PBE.

Crystal system: cubic
Total DFT energy (no corrections) (eV per atom): -8.12

Cell: 6.897 6.897 6.897 Å, 90.00 90.00 90.00°
Space group F-43m (No. 216)
Symmetry-distinct sites (fractional):
1 Zr 0.000 0.000 0.000 [4 per cell]
2 Zr 0.250 0.250 0.250 [4 per cell]
3 Re 0.250 0.250 0.750 [4 per cell]
4 Bi 0.000 0.000 0.500 [4 per cell]

This record from OQMD via LeMat-Bulk describes SmBi3S6 after structural relaxation. The functional is PBE.

Crystal system: monoclinic
Total DFT energy (no corrections) (eV per atom): -4.95

Cell: 11.659 4.008 11.667 Å, 90.00 106.25 90.00°
Space group P2_1/m (No. 11)
Symmetry-distinct sites (fractional):
1 Sm 0.188 0.250 0.039 [2 per cell]
2 Bi 0.019 0.750 0.302 [2 per cell]
3 Bi 0.334 0.250 0.430 [2 per cell]
4 Bi 0.407 0.750 0.846 [2 per cell]
5 S 0.038 0.750 0.896 [2 per cell]
6 S 0.115 0.250 0.463 [2 per cell]
7 S 0.219 0.750 0.234 [2 per cell]
8 S 0.250 0.250 0.809 [2 per cell]
9 S 0.386 0.750 0.068 [2 per cell]
10 S 0.411 0.750 0.588 [2 per cell]

This record from OQMD via LeMat-Bulk describes Sm3BiS2 after structural relaxation. The functional is PBE.

Crystal system: trigonal
Total DFT energy (no corrections) (eV per atom): -6.02

Cell: 4.1857 4.1857 10.2689 Å, 90.00 90.00 120.00°
Space group P-3m1 (No. 164)
Symmetry-distinct sites (fractional):
1 Sm 0.0000 0.0000 0.0000 [1 per cell]
2 Sm 0.3333 0.6667 0.7002 [2 per cell]
3 Bi 0.0000 0.0000 0.5000 [1 per cell]
4 S 0.3333 0.6667 0.1524 [2 per cell]

This record from OQMD via LeMat-Bulk describes Sm3Bi2S after structural relaxation. The functional is PBE.

Crystal system: trigonal
Total DFT energy (no corrections) (eV per atom): -5.64

Cell: 4.3652 4.3652 10.7760 Å, 90.00 90.00 120.00°
Space group P-3m1 (No. 164)
Symmetry-distinct sites (fractional):
1 Sm 0.0000 0.0000 0.0000 [1 per cell]
2 Sm 0.3333 0.6667 0.6401 [2 per cell]
3 Bi 0.3333 0.6667 0.1794 [2 per cell]
4 S 0.0000 0.0000 0.5000 [1 per cell]